1.
First-principles (PBE) data for a relaxed structure of Pm3HoEr2S6, as listed in Alexandria via LeMat-Bulk.

- E_form (uncorrected): -2006 meV/atom
- Crystal system: monoclinic

Lattice parameters (Å, degrees): 6.8074 6.8074 6.9217 99.41 99.41 120.18
Fractional positions:
Pm 0.0000 0.0000 0.0000
Pm 0.3339 0.6661 0.0000
Pm 0.6661 0.3339 0.0000
Ho 0.5000 0.5000 0.5000
Er 0.1666 0.8334 0.5000
Er 0.8334 0.1666 0.5000
S 0.0875 0.4220 0.2655
S 0.2434 0.2434 0.7341
S 0.4220 0.0875 0.2655
S 0.5780 0.9125 0.7345
S 0.7566 0.7566 0.2659
S 0.9125 0.5780 0.7345



2.
First-principles (PBE) data for a relaxed structure of Pm2HoEr3S6, as listed in Alexandria via LeMat-Bulk.

- E_form (uncorrected): -1985 meV/atom
- Crystal system: monoclinic

Lattice parameters (Å, degrees): 8.7806 8.7806 7.9072 103.53 103.53 25.68
Fractional positions:
Pm 0.1676 0.1676 0.3354
Pm 0.8324 0.8324 0.6646
Ho 0.5000 0.5000 0.0000
Er 0.1686 0.1686 0.8332
Er 0.5000 0.5000 0.5000
Er 0.8314 0.8314 0.1668
S 0.0040 0.0040 0.7509
S 0.3339 0.3339 0.9278
S 0.3374 0.3374 0.4074
S 0.6626 0.6626 0.5926
S 0.6661 0.6661 0.0722
S 0.9960 0.9960 0.2491



3.
First-principles (PBE) data for a relaxed structure of Pm4Ho3ErS8, as listed in Alexandria via LeMat-Bulk.

- E_form (uncorrected): -2004 meV/atom
- Crystal system: trigonal

Lattice parameters (Å, degrees): 7.9757 7.9757 7.9757 59.02 59.02 59.02
Fractional positions:
Pm 0.0000 0.0000 0.0000
Pm 0.0000 0.5000 0.5000
Pm 0.5000 0.0000 0.5000
Pm 0.5000 0.5000 0.0000
Ho 0.0000 0.0000 0.5000
Ho 0.0000 0.5000 0.0000
Ho 0.5000 0.0000 0.0000
Er 0.5000 0.5000 0.5000
S 0.2449 0.2449 0.2449
S 0.2456 0.7442 0.7442
S 0.2558 0.2558 0.7544
S 0.2558 0.7544 0.2558
S 0.7442 0.2456 0.7442
S 0.7442 0.7442 0.2456
S 0.7544 0.2558 0.2558
S 0.7551 0.7551 0.7551



4.
First-principles (PBE) data for a relaxed structure of PmHo2ErS6, as listed in Alexandria via LeMat-Bulk.

- E_form (uncorrected): -2052 meV/atom
- Crystal system: trigonal

Lattice parameters (Å, degrees): 7.3543 7.3543 7.3543 56.24 56.24 56.24
Fractional positions:
Pm 0.0000 0.0000 0.0000
Ho 0.2939 0.2939 0.2939
Ho 0.7969 0.7969 0.7969
Er 0.4951 0.4951 0.4951
S 0.0919 0.6822 0.4105
S 0.1981 0.5888 0.8950
S 0.4105 0.0919 0.6822
S 0.5888 0.8950 0.1981
S 0.6822 0.4105 0.0919
S 0.8950 0.1981 0.5888



5.
First-principles (PBE) data for a relaxed structure of Pm2HoErS4, as listed in Alexandria via LeMat-Bulk.

- E_form (uncorrected): -2004 meV/atom
- Crystal system: monoclinic

Lattice parameters (Å, degrees): 6.7975 3.8990 6.9711 90.00 108.77 90.00
Fractional positions:
Pm 0.0000 0.0000 0.0000
Pm 0.5000 0.5000 0.0000
Ho 0.0000 0.5000 0.5000
Er 0.5000 0.0000 0.5000
S 0.2456 0.0000 0.7345
S 0.2565 0.5000 0.2661
S 0.7435 0.5000 0.7339
S 0.7544 0.0000 0.2655



6.
First-principles (PBE) data for a relaxed structure of PmHo2ErS4, as listed in Alexandria via LeMat-Bulk.

- E_form (uncorrected): -1978 meV/atom
- Crystal system: monoclinic

Lattice parameters (Å, degrees): 6.7901 3.8764 6.8324 90.00 108.95 90.00
Fractional positions:
Pm 0.0000 0.0000 0.0000
Ho 0.5000 0.0000 0.5000
Ho 0.5000 0.5000 0.0000
Er 0.0000 0.5000 0.5000
S 0.2530 0.0000 0.7439
S 0.2587 0.5000 0.2602
S 0.7413 0.5000 0.7398
S 0.7470 0.0000 0.2561



7.
First-principles (PBE) data for a relaxed structure of Pm4HoEr3S8, as listed in Alexandria via LeMat-Bulk.

- E_form (uncorrected): -2000 meV/atom
- Crystal system: trigonal

Lattice parameters (Å, degrees): 7.9725 7.9725 7.9725 58.92 58.92 58.92
Fractional positions:
Pm 0.0000 0.0000 0.0000
Pm 0.0000 0.5000 0.5000
Pm 0.5000 0.0000 0.5000
Pm 0.5000 0.5000 0.0000
Ho 0.5000 0.5000 0.5000
Er 0.0000 0.0000 0.5000
Er 0.0000 0.5000 0.0000
Er 0.5000 0.0000 0.0000
S 0.2435 0.7449 0.7449
S 0.2442 0.2442 0.2442
S 0.2551 0.2551 0.7565
S 0.2551 0.7565 0.2551
S 0.7449 0.2435 0.7449
S 0.7449 0.7449 0.2435
S 0.7558 0.7558 0.7558
S 0.7565 0.2551 0.2551



8.
First-principles (PBE) data for a relaxed structure of Pm2Ho3ErSb6, as listed in Alexandria via LeMat-Bulk.

- E_form (uncorrected): -1131 meV/atom
- Crystal system: monoclinic

Lattice parameters (Å, degrees): 9.8526 9.8526 8.8128 102.88 102.88 25.86
Fractional positions:
Pm 0.1658 0.1658 0.3325
Pm 0.8342 0.8342 0.6675
Ho 0.1679 0.1679 0.8339
Ho 0.5000 0.5000 0.5000
Ho 0.8321 0.8321 0.1661
Er 0.5000 0.5000 0.0000
Sb 0.0026 0.0026 0.7522
Sb 0.3342 0.3342 0.9229
Sb 0.3350 0.3350 0.4121
Sb 0.6650 0.6650 0.5879
Sb 0.6658 0.6658 0.0771
Sb 0.9974 0.9974 0.2478



9.
First-principles (PBE) data for a relaxed structure of Pm2HoEr3Sb6, as listed in Alexandria via LeMat-Bulk.

- E_form (uncorrected): -1125 meV/atom
- Crystal system: monoclinic

Lattice parameters (Å, degrees): 9.8407 9.8407 8.8018 102.85 102.85 25.86
Fractional positions:
Pm 0.1659 0.1659 0.3326
Pm 0.8341 0.8341 0.6674
Ho 0.5000 0.5000 0.0000
Er 0.1677 0.1677 0.8338
Er 0.5000 0.5000 0.5000
Er 0.8323 0.8323 0.1662
Sb 0.0028 0.0028 0.7508
Sb 0.3336 0.3336 0.9233
Sb 0.3352 0.3352 0.4115
Sb 0.6648 0.6648 0.5885
Sb 0.6664 0.6664 0.0767
Sb 0.9972 0.9972 0.2492



10.
First-principles (PBE) data for a relaxed structure of PmHo2ErSb4, as listed in Alexandria via LeMat-Bulk.

- E_form (uncorrected): -1123 meV/atom
- Crystal system: monoclinic

Lattice parameters (Å, degrees): 7.6131 4.3993 7.6144 90.00 109.48 90.00
Fractional positions:
Pm 0.0000 0.0000 0.0000
Ho 0.0000 0.5000 0.5000
Ho 0.5000 0.0000 0.5000
Er 0.5000 0.5000 0.0000
Sb 0.2534 0.0000 0.7480
Sb 0.2559 0.5000 0.2551
Sb 0.7441 0.5000 0.7449
Sb 0.7466 0.0000 0.2520



11.
First-principles (PBE) data for a relaxed structure of Pm2Ho2ErSc, as listed in Alexandria via LeMat-Bulk.

- Crystal system: orthorhombic
- E_tot: -4.8295 eV per atom

Lattice parameters (Å, degrees): 6.8487 5.5711 9.6441 90.00 90.00 90.00
Fractional positions:
Pm 0.0000 0.0000 0.0000
Pm 0.2500 0.5000 0.1857
Pm 0.5000 0.0000 0.0000
Pm 0.7500 0.5000 0.8143
Ho 0.2500 0.0000 0.3325
Ho 0.2500 0.5000 0.8362
Ho 0.7500 0.0000 0.6675
Ho 0.7500 0.5000 0.1638
Er 0.2500 0.0000 0.6536
Er 0.7500 0.0000 0.3464
Sc 0.0000 0.5000 0.5000
Sc 0.5000 0.5000 0.5000



12.
First-principles (PBE) data for a relaxed structure of Pm6HoErSc2, as listed in Alexandria via LeMat-Bulk.

- Crystal system: monoclinic
- E_tot: -4.9059 eV per atom

Lattice parameters (Å, degrees): 8.7578 8.7578 9.5078 94.22 94.22 117.80
Fractional positions:
Pm 0.0125 0.5605 0.1834
Pm 0.1113 0.7623 0.5524
Pm 0.2377 0.8887 0.9476
Pm 0.2986 0.5045 0.3815
Pm 0.4395 0.9875 0.3166
Pm 0.4955 0.7014 0.1185
Pm 0.5045 0.2986 0.8815
Pm 0.5605 0.0125 0.6834
Pm 0.7014 0.4955 0.6185
Pm 0.7623 0.1113 0.0524
Pm 0.8887 0.2377 0.4476
Pm 0.9875 0.4395 0.8166
Ho 0.4079 0.5921 0.7500
Ho 0.5921 0.4079 0.2500
Er 0.0281 0.9719 0.2500
Er 0.9719 0.0281 0.7500
Sc 0.1974 0.2959 0.0476
Sc 0.2959 0.1974 0.5476
Sc 0.7041 0.8026 0.4524
Sc 0.8026 0.7041 0.9524



13.
First-principles (PBE) data for a relaxed structure of Pm2Ho6Er3Sc, as listed in Alexandria via LeMat-Bulk.

- Crystal system: monoclinic
- E_tot: -4.7221 eV per atom

Lattice parameters (Å, degrees): 6.0883 6.0883 11.6791 94.97 94.97 119.97
Fractional positions:
Pm 0.1664 0.8336 0.0000
Pm 0.8336 0.1664 0.0000
Ho 0.0862 0.4166 0.7493
Ho 0.2530 0.2530 0.2511
Ho 0.4166 0.0862 0.7493
Ho 0.5834 0.9138 0.2507
Ho 0.7470 0.7470 0.7489
Ho 0.9138 0.5834 0.2507
Er 0.0000 0.0000 0.5000
Er 0.3338 0.6662 0.5000
Er 0.6662 0.3338 0.5000
Sc 0.5000 0.5000 0.0000



14.
First-principles (PBE) data for a relaxed structure of PmHo2Er5Sc, as listed in Alexandria via LeMat-Bulk.

- Crystal system: orthorhombic
- E_tot: -4.6107 eV per atom

Lattice parameters (Å, degrees): 10.1680 10.1680 10.3247 90.00 90.00 148.49
Fractional positions:
Pm 0.0868 0.9132 0.5000
Pm 0.9132 0.0868 0.0000
Ho 0.3865 0.6135 0.7816
Ho 0.3886 0.6114 0.3609
Ho 0.6114 0.3886 0.8609
Ho 0.6135 0.3865 0.2816
Er 0.0195 0.9805 0.7847
Er 0.1222 0.8778 0.0670
Er 0.2016 0.7984 0.7521
Er 0.2228 0.7772 0.3674
Er 0.4814 0.5186 0.0667
Er 0.5186 0.4814 0.5667
Er 0.7772 0.2228 0.8674
Er 0.7984 0.2016 0.2521
Er 0.8778 0.1222 0.5670
Er 0.9805 0.0195 0.2847
Sc 0.3034 0.6966 0.0605
Sc 0.6966 0.3034 0.5605



15.
First-principles (PBE) data for a relaxed structure of Pm6Ho2ErSc, as listed in Alexandria via LeMat-Bulk.

- Crystal system: monoclinic
- E_tot: -4.7280 eV per atom

Lattice parameters (Å, degrees): 8.8905 8.8905 9.3771 93.38 93.38 117.65
Fractional positions:
Pm 0.0062 0.4401 0.8051
Pm 0.1220 0.7681 0.5517
Pm 0.2319 0.8780 0.9483
Pm 0.2893 0.5124 0.3873
Pm 0.4401 0.0062 0.3051
Pm 0.4876 0.7107 0.1127
Pm 0.5124 0.2893 0.8873
Pm 0.5599 0.9938 0.6949
Pm 0.7107 0.4876 0.6127
Pm 0.7681 0.1220 0.0517
Pm 0.8780 0.2319 0.4483
Pm 0.9938 0.5599 0.1949
Ho 0.2048 0.3034 0.0479
Ho 0.3034 0.2048 0.5479
Ho 0.6966 0.7952 0.4521
Ho 0.7952 0.6966 0.9521
Er 0.0263 0.9737 0.2500
Er 0.9737 0.0263 0.7500
Sc 0.4201 0.5799 0.7500
Sc 0.5799 0.4201 0.2500



16.
First-principles (PBE) data for a relaxed structure of PmHoEr5Sc2, as listed in Alexandria via LeMat-Bulk.

- Crystal system: orthorhombic
- E_tot: -4.8081 eV per atom

Lattice parameters (Å, degrees): 11.0271 11.0271 9.2656 90.00 90.00 150.81
Fractional positions:
Pm 0.1853 0.8147 0.5000
Pm 0.8147 0.1853 0.0000
Ho 0.4032 0.5968 0.0985
Ho 0.5968 0.4032 0.5985
Er 0.0092 0.9908 0.5008
Er 0.2652 0.7348 0.1831
Er 0.3079 0.6921 0.7983
Er 0.3924 0.6076 0.4712
Er 0.4685 0.5315 0.7693
Er 0.5315 0.4685 0.2693
Er 0.6076 0.3924 0.9712
Er 0.6921 0.3079 0.2983
Er 0.7348 0.2652 0.6831
Er 0.9908 0.0092 0.0008
Sc 0.1132 0.8868 0.1932
Sc 0.1385 0.8615 0.8205
Sc 0.8615 0.1385 0.3205
Sc 0.8868 0.1132 0.6932



17.
First-principles (PBE) data for a relaxed structure of Pm3Ho2Er6Sc, as listed in Alexandria via LeMat-Bulk.

- Crystal system: monoclinic
- E_tot: -4.7296 eV per atom

Lattice parameters (Å, degrees): 6.1118 6.1118 11.6616 95.01 95.01 119.97
Fractional positions:
Pm 0.0000 0.0000 0.0000
Pm 0.3335 0.6665 0.0000
Pm 0.6665 0.3335 0.0000
Ho 0.1665 0.8335 0.5000
Ho 0.8335 0.1665 0.5000
Er 0.0881 0.4191 0.2556
Er 0.2499 0.2499 0.7446
Er 0.4191 0.0881 0.2556
Er 0.5809 0.9119 0.7444
Er 0.7501 0.7501 0.2554
Er 0.9119 0.5809 0.7444
Sc 0.5000 0.5000 0.5000



18.
First-principles (PBE) data for a relaxed structure of Pm2Ho4ErSc, as listed in Alexandria via LeMat-Bulk.

- Crystal system: tetragonal
- E_tot: -4.8047 eV per atom

Lattice parameters (Å, degrees): 4.9906 4.9906 9.9204 90.00 90.00 90.00
Fractional positions:
Pm 0.0000 0.0000 0.0000
Pm 0.5000 0.5000 0.5000
Ho 0.0000 0.5000 0.2463
Ho 0.0000 0.5000 0.7537
Ho 0.5000 0.0000 0.2463
Ho 0.5000 0.0000 0.7537
Er 0.0000 0.0000 0.5000
Sc 0.5000 0.5000 0.0000



19.
First-principles (PBE) data for a relaxed structure of PmHo6Er3Sc2, as listed in Alexandria via LeMat-Bulk.

- Crystal system: monoclinic
- E_tot: -4.8440 eV per atom

Lattice parameters (Å, degrees): 6.0357 6.0357 11.5616 94.98 94.98 119.95
Fractional positions:
Pm 0.0000 0.0000 0.0000
Ho 0.0830 0.4187 0.2472
Ho 0.2531 0.2531 0.7529
Ho 0.4187 0.0830 0.2472
Ho 0.5813 0.9170 0.7528
Ho 0.7469 0.7469 0.2471
Ho 0.9170 0.5813 0.7528
Er 0.1672 0.8328 0.5000
Er 0.5000 0.5000 0.5000
Er 0.8328 0.1672 0.5000
Sc 0.3333 0.6667 0.0000
Sc 0.6667 0.3333 0.0000